Below is a relaxed RbDy4Tl5 crystal, with properties calculated at the PBE-GGA level.

Computed properties:
- Calculated total energy: -3.40 eV per atom
- Calculated density: 9.76 g/cm3
- Symmetry: No. 123
- Calculated formation energy: -275 meV/atom

abc: 3.8466 3.8466 20.2172
angles: 90.00 90.00 90.00
Element x y z (fractional)
Rb: 0.0000 0.0000 0.0000
Dy: 0.0000 0.0000 0.2206
Dy: 0.0000 0.0000 0.4068
Dy: 0.0000 0.0000 0.5932
Dy: 0.0000 0.0000 0.7794
Tl: 0.5000 0.5000 0.1355
Tl: 0.5000 0.5000 0.3150
Tl: 0.5000 0.5000 0.5000
Tl: 0.5000 0.5000 0.6850
Tl: 0.5000 0.5000 0.8645